No. 1
Computed, not measured: SrAlZn after structural relaxation at the GGA-PBE level of DFT.

Properties
Its volume is 27.62 Å³ per atom. The density of states at the Fermi level comes out at 1.587 states/eV/atom. Its energy of formation from the pure elements is 1 meV per atom. Its magnetization is 0.2 μB/f.u.

```
SrAlZn
1.0
0.0000 3.4604 3.4604
3.4604 0.0000 3.4604
3.4604 3.4604 0.0000
Sr Al Zn
1 1 1
direct
0.0000 0.0000 0.0000 Sr
0.5000 0.5000 0.5000 Al
0.2500 0.2500 0.2500 Zn
```

***

No. 2
Computed, not measured: K2As2Ru after structural relaxation at the GGA-PBE level of DFT.

Properties
Its volume is 23.36 Å³ per atom. The density of states at the Fermi level comes out at 0.000 states/eV/atom. Its energy of formation from the pure elements is -230 meV per atom. Its magnetization is 0.0 μB/f.u.

```
K2As2Ru
1.0
6.4594 0.0000 0.0000
0.0000 6.4594 0.0000
0.0000 0.0000 5.5983
K As Ru
4 4 2
direct
0.1775 0.3225 0.0000 K
0.3225 0.8225 0.0000 K
0.6775 0.1775 0.0000 K
0.8225 0.6775 0.0000 K
0.1424 0.6424 0.5000 As
0.3576 0.1424 0.5000 As
0.6424 0.8576 0.5000 As
0.8576 0.3576 0.5000 As
0.0000 0.0000 0.5000 Ru
0.5000 0.5000 0.5000 Ru
```

***

No. 3
Computed, not measured: Y5N4O after structural relaxation at the GGA-PBE level of DFT.

Properties
For the uncorrected energy, the calculation gives -90.45 eV for the cell shown. Its volume is 14.71 Å³ per atom. The density of states at the Fermi level comes out at 0.176 states/eV/atom. Its magnetization is 0.0 μB/f.u.

```
Y5N4O
1.0
-1.7331 2.4479 8.6705
1.7331 -2.4479 8.6705
1.7331 2.4479 -8.6705
Y N O
5 4 1
direct
0.0000 0.0000 0.0000 Y
0.1999 0.1999 0.0000 Y
0.3959 0.3959 0.0000 Y
0.6041 0.6041 0.0000 Y
0.8001 0.8001 0.0000 Y
0.0981 0.5981 0.5000 N
0.3024 0.8024 0.5000 N
0.6976 0.1976 0.5000 N
0.9019 0.4019 0.5000 N
0.5000 0.0000 0.5000 O
```

***

No. 4
Computed, not measured: TlCuH6Rh after structural relaxation at the GGA-PBE level of DFT.

Properties
For the uncorrected energy, the calculation gives -33.36 eV for the cell shown. Its volume is 10.90 Å³ per atom. The density of states at the Fermi level comes out at 0.099 states/eV/atom. Its magnetization is 0.0 μB/f.u.

```
TlCuH6Rh
1.0
4.6049 0.0000 0.0000
1.4740 4.3681 0.0000
1.8293 1.3141 4.8757
Tl Cu H Rh
1 1 6 1
direct
0.0000 0.0000 0.0000 Tl
0.2646 0.2614 0.4622 Cu
0.2999 0.9201 0.3896 H
0.3922 0.3865 0.6679 H
0.5225 0.5227 0.2034 H
0.6593 0.8228 0.6289 H
0.8280 0.6547 0.6282 H
0.9261 0.3013 0.3823 H
0.6291 0.6265 0.4195 Rh
```

***

No. 5
Computed, not measured: CaCeSm2 after structural relaxation at the GGA-PBE level of DFT.

Properties
Its volume is 33.89 Å³ per atom. The density of states at the Fermi level comes out at 1.776 states/eV/atom. Its energy of formation from the pure elements is 81 meV per atom. Its magnetization is 0.3 μB/f.u.

```
CaCeSm2
1.0
1.8095 1.0447 11.9517
-1.8095 1.0447 11.9517
0.0000 -2.0894 11.9517
Ca Ce Sm
1 1 2
direct
0.0000 0.0000 0.0000 Ca
0.1656 0.1656 0.1656 Ce
0.5771 0.5771 0.5771 Sm
0.7547 0.7547 0.7547 Sm
```

***

No. 6
Computed, not measured: ZrTlSi2 after structural relaxation at the GGA-PBE level of DFT.

Properties
For the uncorrected energy, the calculation gives -21.29 eV for the cell shown. Its volume is 19.66 Å³ per atom. The density of states at the Fermi level comes out at 0.424 states/eV/atom. Its magnetization is 0.0 μB/f.u.

```
ZrTlSi2
1.0
3.4473 -3.6650 0.0000
3.4473 3.6650 0.0000
0.0000 0.0000 3.1126
Zr Tl Si
1 1 2
direct
0.0000 0.0000 0.0000 Zr
0.5000 0.5000 0.0000 Tl
0.0000 0.5000 0.5000 Si
0.5000 0.0000 0.5000 Si
```

***

No. 7
Computed, not measured: Zn2FeCu after structural relaxation at the GGA-PBE level of DFT.

Properties
Its volume is 13.05 Å³ per atom. The density of states at the Fermi level comes out at 0.691 states/eV/atom. Its energy of formation from the pure elements is 68 meV per atom. Its magnetization is 2.3 μB/f.u.

```
Zn2FeCu
1.0
4.2825 -1.3087 0.0000
4.2825 1.3087 0.0000
-0.7970 0.0000 4.6562
Zn Fe Cu
2 1 1
direct
0.2504 0.2504 0.2480 Zn
0.7496 0.7496 0.7520 Zn
0.5000 0.5000 0.0000 Fe
0.0000 0.0000 0.5000 Cu
```

***

No. 8
Computed, not measured: Y2HfRu after structural relaxation at the GGA-PBE level of DFT.

Properties
Its volume is 25.54 Å³ per atom. The density of states at the Fermi level comes out at 1.196 states/eV/atom. Its energy of formation from the pure elements is 276 meV per atom. Its magnetization is 0.0 μB/f.u.

```
Y2HfRu
1.0
-4.2123 4.2123 2.8789
4.2123 -4.2123 2.8789
4.2123 4.2123 -2.8789
Y Hf Ru
4 2 2
direct
0.0530 0.1250 0.4280 Y
0.3750 0.9470 0.0720 Y
0.6970 0.6250 0.5720 Y
0.8750 0.3030 0.9280 Y
0.2500 0.7500 0.5000 Hf
0.5000 0.5000 0.0000 Hf
0.0000 0.0000 0.0000 Ru
0.7500 0.2500 0.5000 Ru
```

***

No. 9
Computed, not measured: AcNd2ThAs4 after structural relaxation at the GGA-PBE level of DFT.

Properties
Its volume is 28.78 Å³ per atom. The density of states at the Fermi level comes out at 0.205 states/eV/atom. Its energy of formation from the pure elements is -1480 meV per atom. Its magnetization is 0.0 μB/f.u.

```
AcNd2ThAs4
1.0
7.4849 0.0000 0.0000
0.0000 4.3339 0.0000
-2.5011 0.0000 7.0970
Ac Nd Th As
1 2 1 4
direct
0.0000 0.0000 0.0000 Ac
0.5000 0.0000 0.5000 Nd
0.5000 0.5000 0.0000 Nd
0.0000 0.5000 0.5000 Th
0.2510 0.0000 0.7416 As
0.2567 0.5000 0.2622 As
0.7433 0.5000 0.7378 As
0.7490 0.0000 0.2584 As
```

***

No. 10
Computed, not measured: TiInAg after structural relaxation at the GGA-PBE level of DFT.

Properties
Its volume is 19.14 Å³ per atom. The density of states at the Fermi level comes out at 0.797 states/eV/atom. Its energy of formation from the pure elements is -21 meV per atom. Its magnetization is 0.0 μB/f.u.

```
TiInAg
1.0
4.9120 0.0000 0.0000
0.0000 3.2414 0.0000
-1.3258 0.0000 7.2119
Ti In Ag
2 2 2
direct
0.0502 0.2500 0.1541 Ti
0.9498 0.7500 0.8459 Ti
0.4426 0.2500 0.8213 In
0.5574 0.7500 0.1787 In
0.2367 0.7500 0.4886 Ag
0.7633 0.2500 0.5114 Ag
```

***

No. 11
Computed, not measured: K4PuF6 after structural relaxation at the GGA-PBE level of DFT.

Properties
For the uncorrected energy, the calculation gives -120.81 eV for the cell shown. Its volume is 22.79 Å³ per atom. The density of states at the Fermi level comes out at 0.933 states/eV/atom. Its magnetization is 5.6 μB/f.u.

```
K4PuF6
1.0
5.6496 3.2618 4.5345
-5.6496 3.2618 4.5345
0.0000 -6.5236 4.5345
K Pu F
8 2 12
direct
0.0714 0.7500 0.4286 K
0.2500 0.2500 0.2500 K
0.2500 0.5714 0.9286 K
0.4286 0.0714 0.7500 K
0.5714 0.9286 0.2500 K
0.7500 0.4286 0.0714 K
0.7500 0.7500 0.7500 K
0.9286 0.2500 0.5714 K
0.0000 0.0000 0.0000 Pu
0.5000 0.5000 0.5000 Pu
0.0240 0.9467 0.7043 F
0.0533 0.2957 0.9760 F
0.2043 0.4467 0.5240 F
0.2957 0.9760 0.0533 F
0.4467 0.5240 0.2043 F
0.4760 0.7957 0.5533 F
0.5240 0.2043 0.4467 F
0.5533 0.4760 0.7957 F
0.7043 0.0240 0.9467 F
0.7957 0.5533 0.4760 F
0.9467 0.7043 0.0240 F
0.9760 0.0533 0.2957 F
```

***

No. 12
Computed, not measured: CaHg4Pb5 after structural relaxation at the GGA-PBE level of DFT.

Properties
Its volume is 30.89 Å³ per atom. The density of states at the Fermi level comes out at 0.553 states/eV/atom. Its energy of formation from the pure elements is -55 meV per atom. Its magnetization is 0.0 μB/f.u.

```
CaHg4Pb5
1.0
8.0777 -2.6224 0.0000
8.0777 2.6224 0.0000
-0.0190 0.0000 7.2909
Ca Hg Pb
1 4 5
direct
0.0000 0.0000 0.0000 Ca
0.1698 0.1698 0.2464 Hg
0.4892 0.4892 0.2503 Hg
0.5108 0.5108 0.7497 Hg
0.8302 0.8302 0.7536 Hg
0.0000 0.0000 0.5000 Pb
0.3296 0.3296 0.5089 Pb
0.3304 0.3304 0.9936 Pb
0.6696 0.6696 0.0064 Pb
0.6704 0.6704 0.4911 Pb
```

***

No. 13
Computed, not measured: Hf2ZnTcB after structural relaxation at the GGA-PBE level of DFT.

Properties
Its volume is 16.32 Å³ per atom. The density of states at the Fermi level comes out at 0.887 states/eV/atom. Its energy of formation from the pure elements is 38 meV per atom. Its magnetization is 0.0 μB/f.u.

```
Hf2ZnTcB
1.0
4.6065 0.0000 0.0000
0.0000 4.6065 0.0000
0.0000 0.0000 3.8455
Hf Zn Tc B
2 1 1 1
direct
0.0000 0.5000 0.0000 Hf
0.5000 0.0000 0.0000 Hf
0.0000 0.0000 0.5000 Zn
0.5000 0.5000 0.5000 Tc
0.0000 0.0000 0.0000 B
```